# 1
Mn2TlRh2: optimized geometry, GGA-PBE.

```
data_Mn2TlRh2
_symmetry_space_group_name_H-M 'P 4/m b m'
_symmetry_Int_Tables_number 127
_symmetry_space_group_name_Hall '-P 4 2ab'
_cell_length_a 7.456
_cell_length_b 7.456
_cell_length_c 2.964
_cell_angle_alpha 90.00
_cell_angle_beta 90.00
_cell_angle_gamma 90.00
loop_
_atom_site_label
_atom_site_fract_x
_atom_site_fract_y
_atom_site_fract_z
Mn1 0.139 0.361 0.000
Tl1 0.000 0.000 0.000
Rh1 0.152 0.652 0.500
```

Summary:
**Theoretical density**: 10.481 g/cm3
**Formation enthalpy at 0 K**: 159 meV per atom
**Magnetic moment**: 8.38 μB/f.u.
**Distance to the lowest polymorph of the same formula**: 76 meV per atom

***

# 2
Mn2TlRh2: optimized geometry, GGA-PBE.

```
data_Mn2TlRh2
_symmetry_space_group_name_H-M 'P 4/m b m'
_symmetry_Int_Tables_number 127
_symmetry_space_group_name_Hall '-P 4 2ab'
_cell_length_a 7.417
_cell_length_b 7.417
_cell_length_c 3.009
_cell_angle_alpha 90.00
_cell_angle_beta 90.00
_cell_angle_gamma 90.00
loop_
_atom_site_label
_atom_site_fract_x
_atom_site_fract_y
_atom_site_fract_z
Mn1 0.152 0.348 0.000
Tl1 0.000 0.000 0.500
Rh1 0.141 0.641 0.500
```

Summary:
**Theoretical density**: 10.434 g/cm3
**Formation enthalpy at 0 K**: 83 meV per atom
**Magnetic moment**: 8.37 μB/f.u.
**Distance to the lowest polymorph of the same formula**: 0 meV per atom

***

# 3
MnTlRh: optimized geometry, GGA-PBE.

```
data_MnTlRh
_symmetry_space_group_name_H-M 'F -4 3 m'
_symmetry_Int_Tables_number 216
_symmetry_space_group_name_Hall 'F -4 2 3'
_cell_length_a 6.267
_cell_length_b 6.267
_cell_length_c 6.267
_cell_angle_alpha 90.00
_cell_angle_beta 90.00
_cell_angle_gamma 90.00
loop_
_atom_site_label
_atom_site_fract_x
_atom_site_fract_y
_atom_site_fract_z
Mn1 0.000 0.000 0.000
Tl1 0.000 0.000 0.500
Rh1 0.250 0.250 0.250
```

Summary:
**Theoretical density**: 9.775 g/cm3
**Formation enthalpy at 0 K**: 268 meV per atom
**Magnetic moment**: 4.33 μB/f.u.
**Distance to the lowest polymorph of the same formula**: 131 meV per atom

***

# 4
MnTl3Rh: optimized geometry, GGA-PBE.

```
data_MnTl3Rh
_symmetry_space_group_name_H-M 'P m -3 m'
_symmetry_Int_Tables_number 221
_symmetry_space_group_name_Hall '-P 4 2 3'
_cell_length_a 5.269
_cell_length_b 5.269
_cell_length_c 5.269
_cell_angle_alpha 90.00
_cell_angle_beta 90.00
_cell_angle_gamma 90.00
loop_
_atom_site_label
_atom_site_fract_x
_atom_site_fract_y
_atom_site_fract_z
Mn1 0.000 0.000 0.000
Tl1 0.000 0.500 0.500
Rh1 0.500 0.500 0.500
```

Summary:
**Theoretical density**: 8.754 g/cm3
**Formation enthalpy at 0 K**: 514 meV per atom
**Magnetic moment**: 4.64 μB/f.u.
**Distance to the lowest polymorph of the same formula**: 0 meV per atom

***

# 5
MnTlRh: optimized geometry, GGA-PBE.

```
data_MnTlRh
_symmetry_space_group_name_H-M 'P 3 m 1'
_symmetry_Int_Tables_number 156
_cell_length_a 4.4428
_cell_length_b 4.4428
_cell_length_c 3.0452
_cell_angle_alpha 90.00
_cell_angle_beta 90.00
_cell_angle_gamma 120.00
loop_
_symmetry_equiv_pos_as_xyz
'x,y,z'
'-y,x-y,z'
'-x+y,-x,z'
'-y,-x,z'
'-x+y,y,z'
'x,x-y,z'
loop_
_atom_site_label
_atom_site_fract_x
_atom_site_fract_y
_atom_site_fract_z
Mn1 0.0000 0.0000 0.0000
Tl1 0.3333 0.6667 0.6183
Rh1 0.6667 0.3333 0.2261
```

Summary:
**Theoretical density**: 11.555 g/cm3
**Formation enthalpy at 0 K**: 222 meV per atom
**Magnetic moment**: 4.22 μB/f.u.
**Distance to the lowest polymorph of the same formula**: 84 meV per atom

***

# 6
Mn2TlRh2: optimized geometry, GGA-PBE.

```
data_Mn2TlRh2
_symmetry_space_group_name_H-M 'I 4/m m m'
_symmetry_Int_Tables_number 139
_symmetry_space_group_name_Hall '-I 4 2'
_cell_length_a 3.337
_cell_length_b 3.337
_cell_length_c 13.685
_cell_angle_alpha 90.00
_cell_angle_beta 90.00
_cell_angle_gamma 90.00
loop_
_atom_site_label
_atom_site_fract_x
_atom_site_fract_y
_atom_site_fract_z
Mn1 0.000 0.500 0.250
Tl1 0.000 0.000 0.000
Rh1 0.000 0.000 0.388
```

Summary:
**Theoretical density**: 11.335 g/cm3
**Formation enthalpy at 0 K**: 333 meV per atom
**Magnetic moment**: 0.00 μB/f.u.
**Distance to the lowest polymorph of the same formula**: 250 meV per atom